Below is a relaxed ZnCoPtPb crystal, with properties calculated at the PBE level.

As for the crystal system: cubic. Its energy above the most stable polymorph in this dataset is 0.0000 eV per atom.

The structure belongs to space group F-43m (No. 216); the cell edges are 6.418, 6.418 and 6.418 Å and the angles 90.00°, 90.00° and 90.00°. The inequivalent atoms are Zn at (0.000, 0.000, 0.000), Co at (0.250, 0.250, 0.750), Pt at (0.250, 0.250, 0.250) and Pb at (0.000, 0.000, 0.500).

---

Below is a relaxed Li2Mg2InNi2Pb crystal, with properties calculated at the PBE level.

As for the crystal system: tetragonal. As for the total energy: -26.27 eV for the cell shown.

The structure belongs to space group P-4m2 (No. 115); the cell edges are 4.501, 4.501 and 6.348 Å and the angles 90.00°, 90.00° and 90.00°. The inequivalent atoms are Li at (0.000, 0.500, 0.246), Mg at (0.000, 0.000, 0.500), Mg at (0.500, 0.500, 0.000), In at (0.000, 0.000, 0.000), Ni at (0.000, 0.500, 0.755) and Pb at (0.500, 0.500, 0.500).

---

Below is a relaxed TmAsN2O crystal, with properties calculated at the PBE level.

As for the crystal system: orthorhombic. As for the total energy: -140.34 eV for the cell shown.

The structure belongs to space group Pnma (No. 62); the cell edges are 5.359, 7.764 and 5.205 Å and the angles 90.00°, 90.00° and 90.00°. The inequivalent atoms are Tm at (0.065, 0.250, 0.020), As at (0.000, 0.000, 0.500), N at (0.200, 0.550, 0.802) and O at (0.024, 0.750, 0.397).

---

Below is a relaxed HoErB2Pd2N2 crystal, with properties calculated at the PBE level.

As for the crystal system: tetragonal. As for the total energy: -57.92 eV for the cell shown.

The structure belongs to space group P4mm (No. 99); the cell edges are 3.685, 3.685 and 7.585 Å and the angles 90.00°, 90.00° and 90.00°. The inequivalent atoms are Ho at (0.000, 0.000, 0.000), Er at (0.500, 0.500, 0.676), B at (0.000, 0.000, 0.513), B at (0.500, 0.500, 0.162), Pd at (0.000, 0.500, 0.338), N at (0.000, 0.000, 0.701) and N at (0.500, 0.500, 0.974).